## SmScPdPt (GGA-PBE)

Data for SmScPdPt after structural relaxation.

a = 4.881 Å, b = 4.881 Å, c = 4.881 Å
α = 60.00°, β = 60.00°, γ = 60.00°
Fractional coordinates of all 4 atoms:
Pd 0.250 0.250 0.250
Sc 0.500 0.500 0.500
Pt 0.750 0.750 0.750
Sm 0.000 0.000 0.000

Total magnetic moment: 0.00 μB/f.u.
Space group: F-43m
ρ: 10.0 g/cm³
N(E_F): 4.17 states/eV/cell
ΔE_f: -0.959 eV per atom
Total energy: -6.530 eV per atom